[1]
DFT (PBE) results for Li2Mg3Pb after structural relaxation.

Space group   C2/m, No. 12
Formation energy   -0.75 eV per formula unit

Unit cell a=7.098 b=7.098 c=9.658 alpha=114.23 beta=114.23 gamma=36.86
Sites, in units of the cell vectors:
Li: 0.037 0.037 0.381
Li: 0.286 0.286 0.620
Li: 0.714 0.714 0.380
Li: 0.963 0.963 0.619
Mg: 0.121 0.121 0.127
Mg: 0.208 0.208 0.870
Mg: 0.459 0.459 0.132
Mg: 0.541 0.541 0.868
Mg: 0.792 0.792 0.130
Mg: 0.879 0.879 0.873
Pb: 0.366 0.366 0.383
Pb: 0.634 0.634 0.617

=====

[2]
DFT (PBE) results for Zr2TlSb2 after structural relaxation.

Raw formation energy   -0.2851 eV/atom
Space group   P4/mbm, No. 127

Unit cell a=8.297 b=8.297 c=3.696 alpha=90.00 beta=90.00 gamma=90.00
Sites, in units of the cell vectors:
Zr: 0.138 0.362 0.000
Zr: 0.362 0.862 0.000
Zr: 0.638 0.138 0.000
Zr: 0.862 0.638 0.000
Tl: 0.000 0.000 0.500
Tl: 0.500 0.500 0.500
Sb: 0.147 0.647 0.500
Sb: 0.353 0.147 0.500
Sb: 0.647 0.853 0.500
Sb: 0.853 0.353 0.500

=====

Number 1: E -2.178 eV/atom, density 3.710 g cm⁻³, relative energy among the computed polymorphs 0.000 eV/atom. Number 2: E -5.827 eV/atom, density 8.228 g cm⁻³, relative energy among the computed polymorphs 0.155 eV/atom.